[1]
Material: Pr8P3IrI4
Method: DFT, PBE
State: relaxed

Computed properties:
ΔE_f (raw) ... -1228 meV per atom

Cell lengths 9.1935, 9.1935, 9.1935 Å; angles 55.65, 55.65, 55.65 degrees
Closest atoms and distances in Å follow each position.
Atoms (fractional coordinates):
Pr1 0.2306 0.2306 0.2306  3 P 2.89
Pr2 0.2360 0.7274 0.7274  1 Ir 2.85, 2 P 2.90
Pr3 0.2726 0.2726 0.7640  1 Ir 2.85, 2 P 2.90
Pr4 0.2726 0.7640 0.2726  1 Ir 2.85, 2 P 2.90
Pr5 0.7274 0.2360 0.7274  1 Ir 2.85, 2 P 2.90
Pr6 0.7274 0.7274 0.2360  1 Ir 2.85, 2 P 2.90
Pr7 0.7640 0.2726 0.2726  1 Ir 2.85, 2 P 2.90
Pr8 0.7694 0.7694 0.7694  3 P 2.89
P1 0.0000 0.0000 0.5000  6 Pr 2.89-2.90
P2 0.0000 0.5000 0.0000  6 Pr 2.89-2.90
P3 0.5000 0.0000 0.0000  6 Pr 2.89-2.90
Ir1 0.5000 0.5000 0.5000  6 Pr 2.85
I1 0.0000 0.0000 0.0000  6 Pr 3.48
I2 0.0000 0.5000 0.5000  6 Pr 3.43-3.44
I3 0.5000 0.0000 0.5000  6 Pr 3.43-3.44
I4 0.5000 0.5000 0.0000  6 Pr 3.43-3.44

[2]
Material: Pr6PIr2I2
Method: DFT, PBE
State: relaxed

Computed properties:
ΔE_f (raw) ... -883 meV per atom

Cell lengths 7.3769, 7.3769, 8.2498 Å; angles 98.24, 98.24, 119.22 degrees
Closest atoms and distances in Å follow each position.
Atoms (fractional coordinates):
Pr1 0.0987 0.4378 0.8091  2 Ir 2.85-2.88, 1 P 2.93
Pr2 0.2155 0.2155 0.1874  2 Ir 2.86, 1 P 2.96
Pr3 0.4378 0.0987 0.8091  2 Ir 2.85-2.88, 1 P 2.93
Pr4 0.5622 0.9013 0.1909  2 Ir 2.85-2.88, 1 P 2.93
Pr5 0.7845 0.7845 0.8126  2 Ir 2.86, 1 P 2.96
Pr6 0.9013 0.5622 0.1909  2 Ir 2.85-2.88, 1 P 2.93
P1 0.5000 0.5000 0.0000  6 Pr 2.93-2.96
Ir1 0.1690 0.8310 0.0000  6 Pr 2.85-2.88
Ir2 0.8310 0.1690 0.0000  6 Pr 2.85-2.88
I1 0.3359 0.6641 0.5000  6 Pr 3.46-3.52
I2 0.6641 0.3359 0.5000  6 Pr 3.46-3.52

[3]
Material: Pr8PIr3I3
Method: DFT, PBE
State: relaxed

Computed properties:
ΔE_f (raw) ... -888 meV per atom

Cell lengths 9.3324, 9.3324, 9.3324 Å; angles 54.50, 54.50, 54.50 degrees
Closest atoms and distances in Å follow each position.
Atoms (fractional coordinates):
Pr1 0.2212 0.7341 0.7341  2 Ir 2.86, 1 P 2.94
Pr2 0.2300 0.2300 0.2300  3 Ir 2.89
Pr3 0.2659 0.2659 0.7788  2 Ir 2.86, 1 P 2.94
Pr4 0.2659 0.7788 0.2659  2 Ir 2.86, 1 P 2.94
Pr5 0.7341 0.2212 0.7341  2 Ir 2.86, 1 P 2.94
Pr6 0.7341 0.7341 0.2212  2 Ir 2.86, 1 P 2.94
Pr7 0.7700 0.7700 0.7700  3 Ir 2.89
Pr8 0.7788 0.2659 0.2659  2 Ir 2.86, 1 P 2.94
P1 0.5000 0.5000 0.5000  6 Pr 2.94
Ir1 0.0000 0.0000 0.5000  6 Pr 2.86-2.89
Ir2 0.0000 0.5000 0.0000  6 Pr 2.86-2.89
Ir3 0.5000 0.0000 0.0000  6 Pr 2.86-2.89
I1 0.0000 0.5000 0.5000  6 Pr 3.48-3.51
I2 0.5000 0.0000 0.5000  6 Pr 3.48-3.51
I3 0.5000 0.5000 0.0000  6 Pr 3.48-3.51

[4]
Material: P2IrRhI
Method: DFT, PBE
State: relaxed

Computed properties:
ΔE_f (raw) ... 894 meV per atom

Cell lengths 4.3507, 4.3507, 5.5655 Å; angles 90.00, 90.00, 90.00 degrees
Closest atoms and distances in Å follow each position.
Atoms (fractional coordinates):
P1 0.0000 0.5000 0.0000  2 Rh 2.18
P2 0.5000 0.0000 0.0000  2 Rh 2.18
Ir1 0.0000 0.0000 0.5000  2 Rh 2.78, 4 I 3.08
Rh1 0.0000 0.0000 0.0000  4 P 2.18
I1 0.5000 0.5000 0.5000  4 Ir 3.08

[5]
Material: P2IrSI
Method: DFT, PBE
State: relaxed

Computed properties:
ΔE_f (raw) ... 613 meV per atom
ΔE to the lowest computed polymorph ... 0 meV per atom

Cell lengths 4.5729, 4.5729, 5.0759 Å; angles 90.00, 90.00, 90.00 degrees
Closest atoms and distances in Å follow each position.
Atoms (fractional coordinates):
P1 0.0000 0.5000 0.0000  2 Ir 2.29
P2 0.5000 0.0000 0.0000  2 Ir 2.29
Ir1 0.0000 0.0000 0.0000  4 P 2.29, 2 S 2.54
S1 0.0000 0.0000 0.5000  2 Ir 2.54
I1 0.5000 0.5000 0.5000  4 S 3.23, 8 P 3.42

[6]
Material: P2IrSI
Method: DFT, PBE
State: relaxed

Computed properties:
ΔE_f (raw) ... 2195 meV per atom
ΔE to the lowest computed polymorph ... 1581 meV per atom

Cell lengths 5.0512, 5.0512, 4.8379 Å; angles 90.00, 90.00, 90.00 degrees
Closest atoms and distances in Å follow each position.
Atoms (fractional coordinates):
P1 0.0000 0.5000 0.0000  2 I 2.53
P2 0.5000 0.0000 0.0000  2 I 2.53
Ir1 0.0000 0.0000 0.5000  8 P 3.50, 4 S 3.57
S1 0.5000 0.5000 0.5000  2 I 2.42
I1 0.5000 0.5000 0.0000  2 S 2.42, 4 P 2.53

Per-record DOS(E_F), states/eV per atom: 0.61; 0.56; 0.73; 0.81; 0.87; 1.04